No. 1
Below is an optimized crystal structure of ZrIrPt, with properties calculated at the PBE level.

The structure in CIF format:
```
data_ZrIrPt
_chemical_formula_sum 'Zr1 Ir1 Pt1'
_space_group_name_H-M_alt 'P 3 m 1'
_space_group_IT_number 156
_cell_length_a 4.5751
_cell_length_b 4.5751
_cell_length_c 2.8404
_cell_angle_alpha 90.00
_cell_angle_beta 90.00
_cell_angle_gamma 120.00
loop_
_space_group_symop_operation_xyz
'x,y,z'
'-y,x-y,z'
'-x+y,-x,z'
'-y,-x,z'
'-x+y,y,z'
'x,x-y,z'
loop_
_atom_site_label
_atom_site_fract_x
_atom_site_fract_y
_atom_site_fract_z
_atom_site_occupancy
Zr1 0.0000 0.0000 0.0000 1
Ir1 0.6667 0.3333 0.2983 1
Pt1 0.3333 0.6667 0.7244 1
```

Summary:
Size of the total moment, μB per formula unit: 0.0
ΔE to the lowest computed polymorph, eV per formula unit: 0.892

---

No. 2
Below is an optimized crystal structure of Li2CaP2, with properties calculated at the PBE level.

The structure in CIF format:
```
data_Li2CaP2
_chemical_formula_sum 'Li4 Ca2 P4'
_space_group_name_H-M_alt 'P 1 21/m 1'
_space_group_IT_number 11
_cell_length_a 4.249
_cell_length_b 4.066
_cell_length_c 10.467
_cell_angle_alpha 90.00
_cell_angle_beta 96.46
_cell_angle_gamma 90.00
loop_
_space_group_symop_operation_xyz
'x,y,z'
'-x,-y,-z'
'-x,y+1/2,-z'
'x,-y+1/2,z'
loop_
_atom_site_label
_atom_site_fract_x
_atom_site_fract_y
_atom_site_fract_z
_atom_site_occupancy
Li1 0.149 0.250 0.120 1
Li2 0.249 0.750 0.500 1
Ca1 0.315 0.250 0.732 1
P1 0.210 0.250 0.354 1
P2 0.380 0.750 0.990 1
```

Summary:
Raw total energy, eV/f.u.: -20.5
Size of the total moment, μB per formula unit: 0.0